DFT (PBE with a Hubbard U) results for an optimized crystal structure of SrLa2Mn3O9.

As for the energy relative to the lowest polymorph listed for this composition: 0.38 eV per formula unit. The total energy is -7.651 eV per atom.

The space group is P-3m1 (No. 164) and the conventional cell measures 5.5452, 5.5452 and 6.7810 Å, with angles of 90.00, 90.00 and 120.00 degrees. The asymmetric unit holds Sr at (0.0000, 0.0000, 0.0000), La at (0.3333, 0.6667, 0.6665), Mn at (0.0000, 0.0000, 0.5000), Mn at (0.3333, 0.6667, 0.1650), O at (0.0000, 0.5000, 0.0000) and O at (0.1697, 0.3395, 0.3408).